No. 1
# LiSiAs2 | Alexandria | PBE | optimized geometry
# **Total DFT energy (no corrections)**: -68.484 eV for the cell shown
data_LiSiAs2
_cell_length_a 6.0504
_cell_length_b 6.0504
_cell_length_c 9.8755
_cell_angle_alpha 90.00
_cell_angle_beta 90.00
_cell_angle_gamma 90.00
_space_group_name_H-M_alt 'I -4 2 d'
_space_group_IT_number 122
_space_group_name_Hall 'I -4 2bw'
loop_
_atom_site_label
_atom_site_type_symbol
_atom_site_fract_x
_atom_site_fract_y
_atom_site_fract_z
Li1 Li 0.0000 0.0000 0.0000
Si1 Si 0.0000 0.0000 0.5000
As1 As 0.2247 0.2500 0.6250

=====

No. 2
# Rb3Ho3SbSe8 | Alexandria | PBE | optimized geometry
# **Total DFT energy (no corrections)**: -209.897 eV for the cell shown
data_Rb3Ho3SbSe8
_cell_length_a 8.3233
_cell_length_b 8.3233
_cell_length_c 24.4779
_cell_angle_alpha 90.00
_cell_angle_beta 90.00
_cell_angle_gamma 120.00
_space_group_name_H-M_alt 'R -3 m'
_space_group_IT_number 166
_space_group_name_Hall '-R 3 2"'
loop_
_atom_site_label
_atom_site_type_symbol
_atom_site_fract_x
_atom_site_fract_y
_atom_site_fract_z
Rb1 Rb 0.0000 0.5000 0.0000
Ho1 Ho 0.0000 0.5000 0.5000
Sb1 Sb 0.0000 0.0000 0.5000
Se1 Se 0.0000 0.0000 0.2312
Se2 Se 0.0054 0.5027 0.2302

=====

ΔE_f (raw) (eV per atom)
-0.121; -1.422
M_tot (μB/cell)
0.0; 0.0